[1]
BeNiPb, optimized geometry, DFT PBE; electronic total energy = -4.13 eV per atom; calculated density = 9.341 Mg/m³; formation energy from the elements = 0.2782 eV/atom; crystal system = tetragonal
1.0
-1.5387 1.5387 5.1601
1.5387 -1.5387 5.1601
1.5387 1.5387 -5.1601
Be Ni Pb
1 1 1
Direct
0.0000 0.0000 0.0000
0.4404 0.4404 0.0000
0.7303 0.7303 0.0000

[2]
Be4NiPb, optimized geometry, DFT PBE; electronic total energy = -3.79 eV per atom; calculated density = 7.239 Mg/m³; formation energy from the elements = 0.2722 eV/atom; crystal system = cubic
1.0
0.0000 3.2596 3.2596
3.2596 0.0000 3.2596
3.2596 3.2596 0.0000
Be Ni Pb
4 1 1
Direct
0.1211 0.1211 0.1211
0.1211 0.1211 0.6368
0.1211 0.6368 0.1211
0.6368 0.1211 0.1211
0.7500 0.7500 0.7500
0.5000 0.5000 0.5000

[3]
Be2NiPb, optimized geometry, DFT PBE; electronic total energy = -3.62 eV per atom; calculated density = 8.470 Mg/m³; formation energy from the elements = 0.6108 eV/atom; crystal system = cubic
1.0
0.0000 3.0305 3.0305
3.0305 0.0000 3.0305
3.0305 3.0305 0.0000
Be Ni Pb
2 1 1
Direct
0.0000 0.0000 0.0000
0.2500 0.2500 0.2500
0.5000 0.5000 0.5000
0.7500 0.7500 0.7500